SmZn: optimized geometry, GGA-PBEsol.

Computed properties:
energy = -3.65 eV/atom
DOS at the Fermi energy = 2.0 states/eV/f.u.
calculated formation energy = -0.63 eV/f.u.
magnetic moment = 0.00 μB/f.u.

CIF file:
```
data_SmZn
_cell_length_a 3.568
_cell_length_b 3.568
_cell_length_c 3.568
_cell_angle_alpha 90.00
_cell_angle_beta 90.00
_cell_angle_gamma 90.00
_space_group_name_H-M_alt 'P m -3 m'
_space_group_IT_number 221
_space_group_name_Hall '-P 4 2 3'
loop_
_atom_site_label
_atom_site_type_symbol
_atom_site_fract_x
_atom_site_fract_y
_atom_site_fract_z
Sm1 Sm 0.000 0.000 0.000
Zn1 Zn 0.500 0.500 0.500
```